Cd2InAg: single point on PBEsol structure, SCAN.

a b c (Å): 4.295 4.295 5.321
angles (deg): 113.80 113.80 90.00
Atoms (fractional coordinates):
Ag1 0.250 0.750 0.500
Cd1 0.000 0.000 0.000
Cd2 0.750 0.250 0.500
In1 0.500 0.500 0.000

ΔE_f: 0.0355 eV per atom
DOS(E_F): 1.2 states/eV/f.u.
crystal system: tetragonal

***

ScTc2Rh: single point on PBEsol structure, SCAN.

a b c (Å): 3.283 4.105 5.164
angles (deg): 113.42 108.53 90.00
Atoms (fractional coordinates):
Rh1 0.000 0.500 0.000
Sc1 0.500 0.000 0.000
Tc1 0.752 0.752 0.505
Tc2 0.248 0.248 0.495

ΔE_f: -0.1992 eV per atom
DOS(E_F): 3.1 states/eV/f.u.
relative energy among the computed polymorphs: 0.0 meV per atom
crystal system: orthorhombic

***

Ba2YInCl: single point on PBEsol structure, SCAN.

a b c (Å): 5.375 6.683 6.683
angles (deg): 90.00 90.00 90.00
Site moments in Bohr magnetons follow the coordinates.
Atoms (fractional coordinates):
In1 0.000 0.000 0.000  0.01
Cl1 0.500 0.000 0.000  0.01
Ba1 0.000 0.500 0.000  0.08
Ba2 0.000 0.000 0.500  0.08
Y1 0.500 0.500 0.500  0.74

DOS(E_F): 4.8 states/eV/f.u.
E_form (uncorrected): 10.7 kJ per mole of atoms
crystal system: tetragonal

***

Re2OsSe: single point on PBEsol structure, SCAN.

a b c (Å): 2.821 4.023 5.376
angles (deg): 90.00 105.21 90.00
Atoms (fractional coordinates):
Os1 0.571 0.500 0.141
Re1 0.948 0.000 0.896
Re2 0.316 0.500 0.631
Se1 0.179 0.000 0.359

DOS(E_F): 2.5 states/eV/f.u.
E_form (uncorrected): 50.4 kJ per mole of atoms
crystal system: orthorhombic

***

MgZn2Cl: single point on PBEsol structure, SCAN.

a b c (Å): 4.820 4.820 4.820
angles (deg): 60.00 60.00 60.00
Atoms (fractional coordinates):
Zn1 0.250 0.250 0.250
Zn2 0.000 0.000 0.000
Mg1 0.750 0.750 0.750
Cl1 0.500 0.500 0.500

DOS(E_F): 2.7 states/eV/f.u.
relative energy among the computed polymorphs: 518.7 meV per atom
E_form (uncorrected): 7.2 kJ per mole of atoms
crystal system: cubic

***

YSb2PdC: single point on PBEsol structure, SCAN.

a b c (Å): 4.646 4.602 4.602
angles (deg): 90.00 90.00 90.00
Atoms (fractional coordinates):
C1 0.000 0.000 0.000
Sb1 0.000 0.500 0.000
Sb2 0.000 0.000 0.500
Pd1 0.500 0.500 0.500
Y1 0.500 0.000 0.000

DOS(E_F): 2.7 states/eV/f.u.
E_form (uncorrected): 21.7 kJ per mole of atoms
crystal system: tetragonal

***

Number 4 is which compound? Re2OsSe

***

The lowest DOS(E_F) belongs to which entry? Cd2InAg